(1)
# Sm8Dy2Th (PBE, relaxed)
data_Sm8Dy2Th
_chemical_formula_sum 'Sm16 Dy4 Th2'
_symmetry_space_group_name_H-M 'C 1 2/m 1'
_symmetry_Int_Tables_number 12
_symmetry_space_group_name_Hall '-C 2y'
_cell_length_a 17.791
_cell_length_b 7.091
_cell_length_c 6.115
_cell_angle_alpha 90.00
_cell_angle_beta 107.12
_cell_angle_gamma 90.00
loop_
_atom_site_label
_atom_site_type_symbol
_atom_site_fract_x
_atom_site_fract_y
_atom_site_fract_z
Sm1 Sm 0.027 0.000 0.253
Sm2 Sm 0.118 0.277 0.664
Sm3 Sm 0.204 0.500 0.262
Dy1 Dy 0.197 0.000 0.151
Th1 Th 0.000 0.500 0.000
# E_form = 0.187 eV per atom
# Energy = -4.76 eV per atom

---

(2)
# Sm4Dy4Th (PBE, relaxed)
data_Sm4Dy4Th
_chemical_formula_sum 'Sm8 Dy8 Th2'
_symmetry_space_group_name_H-M 'I 4/m m m'
_symmetry_Int_Tables_number 139
_symmetry_space_group_name_Hall '-I 4 2'
_cell_length_a 10.761
_cell_length_b 10.761
_cell_length_c 5.071
_cell_angle_alpha 90.00
_cell_angle_beta 90.00
_cell_angle_gamma 90.00
loop_
_atom_site_label
_atom_site_type_symbol
_atom_site_fract_x
_atom_site_fract_y
_atom_site_fract_z
Sm1 Sm 0.000 0.330 0.000
Dy1 Dy 0.164 0.164 0.500
Th1 Th 0.000 0.000 0.000
# E_form = 0.027 eV per atom
# Energy = -4.94 eV per atom